[1]
A plane-wave DFT calculation with GGA-PBE was carried out for crystalline CsHgOF2 at its relaxed geometry.

a b c (Å): 4.8291 4.8291 4.1728
angles (deg): 90.00 90.00 90.00
With the nearest neighbours (Å) after each atom.
Space group P4/mmm (No. 123)
Asymmetric unit:
1 Cs 0.0000 0.0000 0.0000 (multiplicity 1)  8 F 3.19, 4 O 3.41
2 Hg 0.5000 0.5000 0.5000 (multiplicity 1)  2 O 2.09
3 O 0.5000 0.5000 0.0000 (multiplicity 1)  2 Hg 2.09
4 F 0.0000 0.5000 0.5000 (multiplicity 2)  2 Hg 2.41

Calculated volume (Å³ per atom): 19.46
Formation energy (no corrections) (eV per atom): -1.362

***

[2]
A plane-wave DFT calculation with GGA-PBE was carried out for crystalline Cs6HgOF at its relaxed geometry.

a b c (Å): 8.0909 8.0909 8.4762
angles (deg): 90.00 90.00 120.00
With the nearest neighbours (Å) after each atom.
Space group P312 (No. 149)
Asymmetric unit:
1 Cs 0.0591 0.3490 0.2005 (multiplicity 6)  1 O 2.95, 1 F 3.12
2 Hg 0.6667 0.3333 0.5000 (multiplicity 1)  6 Cs 4.02
3 O 0.3333 0.6667 0.0000 (multiplicity 1)  6 Cs 2.95
4 F 0.0000 0.0000 0.0000 (multiplicity 1)  6 Cs 3.12

Calculated volume (Å³ per atom): 53.40
Formation energy (no corrections) (eV per atom): -0.939

***

[3]
A plane-wave DFT calculation with GGA-PBE was carried out for crystalline CsHgOF2 at its relaxed geometry.

a b c (Å): 5.2283 5.2283 4.3502
angles (deg): 90.00 90.00 90.00
With the nearest neighbours (Å) after each atom.
Space group P4/mmm (No. 123)
Asymmetric unit:
1 Cs 0.0000 0.0000 0.0000 (multiplicity 1)  2 O 2.18
2 Hg 0.5000 0.5000 0.5000 (multiplicity 1)  8 F 3.40, 4 O 3.70
3 O 0.0000 0.0000 0.5000 (multiplicity 1)  2 Cs 2.18
4 F 0.0000 0.5000 0.0000 (multiplicity 2)  2 Cs 2.61

Calculated volume (Å³ per atom): 23.78
Formation energy (no corrections) (eV per atom): -0.428

***

[4]
A plane-wave DFT calculation with GGA-PBE was carried out for crystalline Cs2HgOsF at its relaxed geometry.

a b c (Å): 7.0099 7.0099 5.1612
angles (deg): 90.00 90.00 90.00
With the nearest neighbours (Å) after each atom.
Space group P4/mmm (No. 123)
Asymmetric unit:
1 Cs 0.0000 0.5000 0.0000 (multiplicity 2)  2 Hg 3.50
2 Hg 0.0000 0.0000 0.0000 (multiplicity 1)  2 Os 2.58
3 Os 0.0000 0.0000 0.5000 (multiplicity 1)  2 Hg 2.58
4 F 0.5000 0.5000 0.5000 (multiplicity 1)  8 Cs 4.35

Calculated volume (Å³ per atom): 50.72
Formation energy (no corrections) (eV per atom): 0.279

***

[5]
A plane-wave DFT calculation with GGA-PBE was carried out for crystalline Cs2PaHgF6 at its relaxed geometry.

a b c (Å): 6.7476 6.7476 7.8840
angles (deg): 90.00 90.00 120.00
With the nearest neighbours (Å) after each atom.
Space group P-3m1 (No. 164)
Asymmetric unit:
1 Cs 0.3333 0.6667 0.1664 (multiplicity 2)  9 F 3.19-3.38
2 Pa 0.0000 0.0000 0.0000 (multiplicity 1)  6 F 2.20
3 Hg 0.0000 0.0000 0.5000 (multiplicity 1)  6 F 3.35
4 F 0.1601 0.3202 0.8529 (multiplicity 6)  1 Pa 2.20

Calculated volume (Å³ per atom): 31.09
Formation energy (no corrections) (eV per atom): -3.009

***

[6]
A plane-wave DFT calculation with GGA-PBE was carried out for crystalline CsPaHg2F6 at its relaxed geometry.

a b c (Å): 12.5473 7.2752 7.4761
angles (deg): 90.00 123.93 90.00
With the nearest neighbours (Å) after each atom.
Space group C2/m (No. 12)
Asymmetric unit:
1 Cs 0.0000 0.0000 0.0000 (multiplicity 2)  6 F 3.09-3.10
2 Pa 0.0000 0.5000 0.5000 (multiplicity 2)  6 F 2.12
3 Hg 0.2453 0.5000 0.2351 (multiplicity 4)  12 F 3.67-3.79
4 F 0.0026 0.2941 0.3022 (multiplicity 8)  1 Pa 2.12
5 F 0.2034 0.5000 0.6958 (multiplicity 4)  1 Pa 2.12

Calculated volume (Å³ per atom): 28.31
Formation energy (no corrections) (eV per atom): -2.895

***

[7]
A plane-wave DFT calculation with GGA-PBE was carried out for crystalline CsHgPb2F8 at its relaxed geometry.

a b c (Å): 4.3814 6.4622 8.1200
angles (deg): 94.72 90.93 91.11
With the nearest neighbours (Å) after each atom.
Space group P-1 (No. 2)
Asymmetric unit:
1 Cs 0.0000 0.0000 0.0000 (multiplicity 1)  8 F 2.86-3.02
2 Hg 0.0000 0.0000 0.5000 (multiplicity 1)  2 F 2.06
3 Pb 0.4798 0.4948 0.7444 (multiplicity 2)  6 F 2.37-2.50
4 F 0.0136 0.3624 0.2594 (multiplicity 2)  2 Pb 2.37-2.39
5 F 0.0307 0.2108 0.7042 (multiplicity 2)  1 Hg 2.06
6 F 0.4831 0.7323 0.5161 (multiplicity 2)  2 Pb 2.48-2.50, 1 Hg 2.77
7 F 0.4884 0.6991 0.0148 (multiplicity 2)  2 Pb 2.41-2.47, 1 F 2.57

Calculated volume (Å³ per atom): 19.09
Formation energy (no corrections) (eV per atom): -2.074

***

[8]
A plane-wave DFT calculation with GGA-PBE was carried out for crystalline CsHgPd2F8 at its relaxed geometry.

a b c (Å): 4.7660 5.1858 9.2885
angles (deg): 94.54 90.27 96.16
With the nearest neighbours (Å) after each atom.
Space group P-1 (No. 2)
Asymmetric unit:
1 Cs 0.0000 0.0000 0.0000 (multiplicity 1)  8 F 2.96-3.14
2 Hg 0.0000 0.0000 0.5000 (multiplicity 1)  6 F 2.30-2.47
3 Pd 0.4780 0.5003 0.3024 (multiplicity 2)  4 F 1.94-2.00
4 F 0.1330 0.2479 0.3121 (multiplicity 2)  1 Pd 2.00
5 F 0.1806 0.2448 0.7110 (multiplicity 2)  1 Pd 1.99
6 F 0.3764 0.7079 0.4818 (multiplicity 2)  1 Pd 2.00
7 F 0.4373 0.6818 0.8806 (multiplicity 2)  1 Pd 1.94

Calculated volume (Å³ per atom): 18.96
Formation energy (no corrections) (eV per atom): -1.551

***

[9]
A plane-wave DFT calculation with GGA-PBE was carried out for crystalline Cs2HgPdF6 at its relaxed geometry.

a b c (Å): 6.4425 6.4425 9.9254
angles (deg): 90.00 90.00 90.00
With the nearest neighbours (Å) after each atom.
Space group I4/mmm (No. 139)
Asymmetric unit:
1 Cs 0.0000 0.5000 0.2500 (multiplicity 4)  12 F 3.25-3.38
2 Hg 0.0000 0.0000 0.0000 (multiplicity 2)  2 F 2.08
3 Pd 0.0000 0.0000 0.5000 (multiplicity 2)  4 F 2.02
4 F 0.0000 0.0000 0.2097 (multiplicity 4)  1 Hg 2.08
5 F 0.2212 0.2212 0.5000 (multiplicity 8)  1 Pd 2.02

Calculated volume (Å³ per atom): 20.60
Formation energy (no corrections) (eV per atom): -1.952

***

[10]
A plane-wave DFT calculation with GGA-PBE was carried out for crystalline CsHg2PdF8 at its relaxed geometry.

a b c (Å): 5.0842 5.4933 8.4358
angles (deg): 83.28 89.41 89.08
With the nearest neighbours (Å) after each atom.
Space group P-1 (No. 2)
Asymmetric unit:
1 Cs 0.0000 0.0000 0.0000 (multiplicity 1)  8 F 2.94-3.16
2 Hg 0.4616 0.5149 0.7122 (multiplicity 2)  2 F 2.04-2.10
3 Pd 0.0000 0.0000 0.5000 (multiplicity 1)  4 F 1.98-2.00
4 F 0.1198 0.2363 0.3153 (multiplicity 2)  1 Pd 2.00
5 F 0.1212 0.2077 0.6606 (multiplicity 2)  1 Pd 1.98
6 F 0.3635 0.7550 0.5089 (multiplicity 2)  1 Hg 2.10, 1 Pd 2.27
7 F 0.4824 0.7139 0.0816 (multiplicity 2)  1 Hg 2.04

Calculated volume (Å³ per atom): 19.50
Formation energy (no corrections) (eV per atom): -1.596

***

[11]
A plane-wave DFT calculation with GGA-PBE was carried out for crystalline Cs2HgPdF6 at its relaxed geometry.

a b c (Å): 6.4981 6.4981 33.4584
angles (deg): 90.00 90.00 120.00
With the nearest neighbours (Å) after each atom.
Space group R-3m (No. 166, hexagonal axes)
Asymmetric unit:
1 Cs 0.0000 0.0000 0.1209 (multiplicity 6)  9 F 3.25-3.30
2 Cs 0.0000 0.0000 0.2880 (multiplicity 6)  12 F 3.19-3.41
3 Hg 0.0000 0.0000 0.0000 (multiplicity 3)  6 F 2.33
4 Hg 0.0000 0.0000 0.5000 (multiplicity 3)  6 F 2.35
5 Pd 0.0000 0.0000 0.4090 (multiplicity 6)  6 F 2.19-2.24
6 F 0.0049 0.5024 0.2930 (multiplicity 18)  1 Pd 2.19, 1 Hg 2.33
7 F 0.0285 0.5143 0.1187 (multiplicity 18)  1 Pd 2.24, 1 Hg 2.35

Calculated volume (Å³ per atom): 20.39
Formation energy (no corrections) (eV per atom): -1.894

***

[12]
A plane-wave DFT calculation with GGA-PBE was carried out for crystalline Cs3Hg2PdF9 at its relaxed geometry.

a b c (Å): 6.4947 6.4947 7.9622
angles (deg): 90.00 90.00 120.00
With the nearest neighbours (Å) after each atom.
Space group P-3m1 (No. 164)
Asymmetric unit:
1 Cs 0.0000 0.0000 0.0000 (multiplicity 1)  12 F 3.25-3.26
2 Cs 0.3333 0.6667 0.6653 (multiplicity 2)  12 F 3.23-3.26
3 Hg 0.3333 0.6667 0.1741 (multiplicity 2)  6 F 2.33-2.35
4 Pd 0.0000 0.0000 0.5000 (multiplicity 1)  6 F 2.21
5 F 0.0000 0.5000 0.0000 (multiplicity 3)  2 Hg 2.33
6 F 0.1612 0.3225 0.3404 (multiplicity 6)  1 Pd 2.21, 1 Hg 2.35

Calculated volume (Å³ per atom): 19.39
Formation energy (no corrections) (eV per atom): -1.943

***

[13]
A plane-wave DFT calculation with GGA-PBE was carried out for crystalline CsPmHgF6 at its relaxed geometry.

a b c (Å): 8.1189 8.6559 12.2679
angles (deg): 90.00 90.00 90.00
With the nearest neighbours (Å) after each atom.
Space group Imma (No. 74)
Asymmetric unit:
1 Cs 0.0000 0.2500 0.0682 (multiplicity 4)  1 F 2.94
2 Pm 0.0000 0.0000 0.5000 (multiplicity 4)  6 F 2.26-2.28
3 Hg 0.2500 0.2500 0.7500 (multiplicity 4)  6 F 2.25-2.39
4 F 0.0000 0.2500 0.4405 (multiplicity 4)  2 Pm 2.28
5 F 0.0000 0.2500 0.8284 (multiplicity 4)  2 Hg 2.25
6 F 0.2075 0.0531 0.6166 (multiplicity 16)  1 Pm 2.26, 1 Hg 2.39

Calculated volume (Å³ per atom): 23.95
Formation energy (no corrections) (eV per atom): -2.876

***

[14]
A plane-wave DFT calculation with GGA-PBE was carried out for crystalline Cs2PrHgF6 at its relaxed geometry.

a b c (Å): 6.9601 9.8292 6.9961
angles (deg): 90.00 90.00 90.00
With the nearest neighbours (Å) after each atom.
Space group Pmmn (No. 59, origin choice 2)
Asymmetric unit:
1 Cs 0.2500 0.9997 0.2315 (multiplicity 4)  9 F 3.20-3.50
2 Pr 0.2500 0.2500 0.7438 (multiplicity 2)  6 F 2.30-2.31
3 Hg 0.2500 0.7500 0.7502 (multiplicity 2)  6 F 2.61-2.66
4 F 0.0084 0.2500 0.9697 (multiplicity 4)  1 Pr 2.31
5 F 0.0234 0.2500 0.5049 (multiplicity 4)  1 Pr 2.30
6 F 0.2500 0.0170 0.7745 (multiplicity 4)  1 Pr 2.30

Calculated volume (Å³ per atom): 23.93
Formation energy (no corrections) (eV per atom): -2.830

***

[15]
A plane-wave DFT calculation with GGA-PBE was carried out for crystalline Cs2PuHgF6 at its relaxed geometry.

a b c (Å): 10.2867 10.2867 10.2867
angles (deg): 90.00 90.00 90.00
With the nearest neighbours (Å) after each atom.
Space group Fm-3m (No. 225)
Asymmetric unit:
1 Cs 0.2500 0.2500 0.2500 (multiplicity 8)  12 F 3.66
2 Pu 0.0000 0.0000 0.0000 (multiplicity 4)  6 F 2.16
3 Hg 0.0000 0.0000 0.5000 (multiplicity 4)  6 F 2.99
4 F 0.0000 0.0000 0.2095 (multiplicity 24)  1 Pu 2.16

Calculated volume (Å³ per atom): 27.21
Formation energy (no corrections) (eV per atom): -2.841

***

[16]
A plane-wave DFT calculation with GGA-PBE was carried out for crystalline CsPuHgF6 at its relaxed geometry.

a b c (Å): 8.0675 8.7104 12.0069
angles (deg): 90.00 90.00 90.00
With the nearest neighbours (Å) after each atom.
Space group Imma (No. 74)
Asymmetric unit:
1 Cs 0.0000 0.2500 0.1670 (multiplicity 4)  8 F 3.10-3.40
2 Pu 0.0000 0.0000 0.5000 (multiplicity 4)  6 F 2.14-2.29
3 Hg 0.2500 0.2500 0.7500 (multiplicity 4)  2 F 2.23
4 F 0.0000 0.2500 0.5580 (multiplicity 4)  2 Pu 2.29
5 F 0.0000 0.2500 0.8286 (multiplicity 4)  2 Hg 2.23
6 F 0.1848 0.0563 0.3787 (multiplicity 16)  1 Pu 2.14

Calculated volume (Å³ per atom): 23.44
Formation energy (no corrections) (eV per atom): -2.758

***

[17]
A plane-wave DFT calculation with GGA-PBE was carried out for crystalline CsRb2HgF at its relaxed geometry.

a b c (Å): 5.5929 5.5929 8.4083
angles (deg): 90.00 90.00 90.00
With the nearest neighbours (Å) after each atom.
Space group P4/mmm (No. 123)
Asymmetric unit:
1 Cs 0.0000 0.0000 0.0000 (multiplicity 1)  4 Hg 3.95
2 Rb 0.0000 0.5000 0.5000 (multiplicity 2)  2 F 2.80
3 Hg 0.5000 0.5000 0.0000 (multiplicity 1)  4 Cs 3.95, 2 F 4.20
4 F 0.5000 0.5000 0.5000 (multiplicity 1)  4 Rb 2.80

Calculated volume (Å³ per atom): 52.60
Formation energy (no corrections) (eV per atom): -1.006

***

[18]
A plane-wave DFT calculation with GGA-PBE was carried out for crystalline CsRb4Hg3F12 at its relaxed geometry.

a b c (Å): 9.8126 9.8126 9.8126
angles (deg): 90.00 90.00 90.00
With the nearest neighbours (Å) after each atom.
Space group Im-3 (No. 204)
Asymmetric unit:
1 Cs 0.0000 0.0000 0.0000 (multiplicity 2)  12 F 3.59
2 Rb 0.2500 0.2500 0.2500 (multiplicity 8)  6 F 2.78
3 Hg 0.0000 0.0000 0.5000 (multiplicity 6)  4 F 2.18
4 F 0.0000 0.1479 0.3342 (multiplicity 24)  1 Hg 2.18

Calculated volume (Å³ per atom): 23.62
Formation energy (no corrections) (eV per atom): -2.027

***

[19]
A plane-wave DFT calculation with GGA-PBE was carried out for crystalline Cs4RbHg3F12 at its relaxed geometry.

a b c (Å): 9.5428 9.5428 9.5428
angles (deg): 90.00 90.00 90.00
With the nearest neighbours (Å) after each atom.
Space group Im-3m (No. 229)
Asymmetric unit:
1 Cs 0.2500 0.2500 0.2500 (multiplicity 8)  12 F 3.37-3.38
2 Rb 0.0000 0.0000 0.0000 (multiplicity 2)  6 F 2.63
3 Hg 0.0000 0.0000 0.5000 (multiplicity 6)  6 F 2.14-2.39
4 F 0.0000 0.0000 0.2753 (multiplicity 12)  1 Hg 2.14
5 F 0.0000 0.2500 0.5000 (multiplicity 12)  2 Hg 2.39

Calculated volume (Å³ per atom): 21.73
Formation energy (no corrections) (eV per atom): -2.095

***

[20]
A plane-wave DFT calculation with GGA-PBE was carried out for crystalline Cs2RbHg2F6 at its relaxed geometry.

a b c (Å): 11.6366 7.2214 7.8636
angles (deg): 90.00 117.38 90.00
With the nearest neighbours (Å) after each atom.
Space group C2/m (No. 12)
Asymmetric unit:
1 Cs 0.2088 0.0000 0.1540 (multiplicity 4)  5 F 2.93-3.06
2 Rb 0.0000 0.0000 0.5000 (multiplicity 2)  6 F 2.81-2.85
3 Hg 0.0579 0.5000 0.1950 (multiplicity 4)  3 F 2.16-2.30
4 F 0.0678 0.2520 0.8111 (multiplicity 8)  1 Hg 2.30
5 F 0.2437 0.5000 0.4467 (multiplicity 4)  1 Hg 2.16

Calculated volume (Å³ per atom): 26.67
Formation energy (no corrections) (eV per atom): -2.005

***

Number 1: total magnetic moment 0.6 μB per cell, final energy -16.67 eV for the cell shown. Number 2: total magnetic moment 0.4 μB per cell, final energy -20.70 eV for the cell shown. Number 3: total magnetic moment 0.0 μB per cell, final energy -12.00 eV for the cell shown. Number 4: total magnetic moment 2.2 μB per cell, final energy -13.71 eV for the cell shown. Number 5: total magnetic moment 1.0 μB per cell, final energy -52.82 eV for the cell shown. Number 6: total magnetic moment 0.0 μB per cell, final energy -102.26 eV for the cell shown. Number 7: total magnetic moment 0.0 μB per cell, final energy -48.43 eV for the cell shown. Number 8: total magnetic moment 1.0 μB per cell, final energy -45.12 eV for the cell shown. Number 9: total magnetic moment 0.0 μB per cell, final energy -75.90 eV for the cell shown. Number 10: total magnetic moment 1.0 μB per cell, final energy -40.77 eV for the cell shown. Number 11: total magnetic moment 12.1 μB per cell, final energy -224.23 eV for the cell shown. Number 12: total magnetic moment 2.0 μB per cell, final energy -54.35 eV for the cell shown. Number 13: total magnetic moment 0.0 μB per cell, final energy -172.06 eV for the cell shown. Number 14: total magnetic moment 2.0 μB per cell, final energy -92.63 eV for the cell shown. Number 15: total magnetic moment 16.0 μB per cell, final energy -223.92 eV for the cell shown. Number 16: total magnetic moment 16.9 μB per cell, final energy -206.16 eV for the cell shown. Number 17: total magnetic moment 0.0 μB per cell, final energy -9.99 eV for the cell shown. Number 18: total magnetic moment 2.4 μB per cell, final energy -137.24 eV for the cell shown. Number 19: total magnetic moment 0.9 μB per cell, final energy -139.30 eV for the cell shown. Number 20: total magnetic moment 1.7 μB per cell, final energy -73.12 eV for the cell shown.